{
  "formula": "SmNiHg",
  "functional": "PBE",
  "state": "optimized geometry",
  "lattice": [[6.5253, 0.0000, 0.0000], [0.0000, 6.5253, 0.0000], [0.0000, 0.0000, 6.5253]],
  "species": ["Sm", "Sm", "Sm", "Sm", "Ni", "Ni", "Ni", "Ni", "Hg", "Hg", "Hg", "Hg"],
  "frac_coords": [[0.0000, 0.0000, 0.0000], [0.0000, 0.5000, 0.5000], [0.5000, 0.0000, 0.5000], [0.5000, 0.5000, 0.0000], [0.2500, 0.2500, 0.2500], [0.2500, 0.7500, 0.7500], [0.7500, 0.2500, 0.7500], [0.7500, 0.7500, 0.2500], [0.0000, 0.0000, 0.5000], [0.0000, 0.5000, 0.0000], [0.5000, 0.0000, 0.0000], [0.5000, 0.5000, 0.5000]],
  "delta_e_f_kj_per_mol_fu": -79,
  "dos_at_fermi_per_ev_cell": 7.6,
  "space_group": "F-43m (216)"
}